Entry 1:
# meta-GGA SCAN ZrBe2Os, single point on PBEsol structure
data_ZrBe2Os
_space_group_name_H-M_alt 'P 1'
_space_group_IT_number 1
_cell_length_a 8.521
_cell_length_b 8.521
_cell_length_c 8.521
_cell_angle_alpha 153.56
_cell_angle_beta 153.56
_cell_angle_gamma 37.74
loop_
_space_group_symop_operation_xyz
'x,y,z'
loop_
_atom_site_label
_atom_site_type_symbol
_atom_site_fract_x
_atom_site_fract_y
_atom_site_fract_z
_atom_site_occupancy
Zr1 Zr 0.375 0.625 0.750 1
Zr2 Zr 0.625 0.375 0.250 1
Be1 Be 0.000 0.000 0.000 1
Be2 Be 0.000 0.000 0.500 1
Be3 Be 0.000 0.500 0.000 1
Be4 Be 0.500 0.000 0.500 1
Os1 Os 0.125 0.875 0.250 1
Os2 Os 0.875 0.125 0.750 1
# energy above the most stable polymorph in this dataset	42.38	kJ/mol of atoms
# formation energy	0.146	eV per atom
# M_tot	0.00	μB/f.u.
# total energy	-27.6751	eV/atom

---

Entry 2:
# meta-GGA SCAN Tl2TcOs, single point on PBEsol structure
data_Tl2TcOs
_space_group_name_H-M_alt 'P 1'
_space_group_IT_number 1
_cell_length_a 4.671
_cell_length_b 4.671
_cell_length_c 4.671
_cell_angle_alpha 60.00
_cell_angle_beta 60.00
_cell_angle_gamma 60.00
loop_
_space_group_symop_operation_xyz
'x,y,z'
loop_
_atom_site_label
_atom_site_type_symbol
_atom_site_fract_x
_atom_site_fract_y
_atom_site_fract_z
_atom_site_occupancy
Tl1 Tl 0.000 0.000 0.000 1
Tl2 Tl 0.250 0.250 0.250 1
Tc1 Tc 0.750 0.750 0.750 1
Os1 Os 0.500 0.500 0.500 1
# energy above the most stable polymorph in this dataset	15.01	kJ/mol of atoms
# formation energy	1.234	eV per atom
# M_tot	2.55	μB/f.u.
# total energy	-61.6799	eV/atom

---

Entry 3:
# meta-GGA SCAN InGa2Ag2, single point on PBEsol structure
data_InGa2Ag2
_space_group_name_H-M_alt 'P 1'
_space_group_IT_number 1
_cell_length_a 7.985
_cell_length_b 7.985
_cell_length_c 2.915
_cell_angle_alpha 90.00
_cell_angle_beta 90.00
_cell_angle_gamma 90.00
loop_
_space_group_symop_operation_xyz
'x,y,z'
loop_
_atom_site_label
_atom_site_type_symbol
_atom_site_fract_x
_atom_site_fract_y
_atom_site_fract_z
_atom_site_occupancy
In1 In 0.000 0.000 0.000 1
In2 In 0.500 0.500 0.000 1
Ga1 Ga 0.172 0.328 0.500 1
Ga2 Ga 0.328 0.828 0.500 1
Ga3 Ga 0.672 0.172 0.500 1
Ga4 Ga 0.828 0.672 0.500 1
Ag1 Ag 0.127 0.627 0.000 1
Ag2 Ag 0.373 0.127 0.000 1
Ag3 Ag 0.627 0.873 0.000 1
Ag4 Ag 0.873 0.373 0.000 1
# energy above the most stable polymorph in this dataset	2.02	kJ/mol of atoms
# formation energy	0.104	eV per atom
# M_tot	0.00	μB/f.u.
# total energy	-25.6589	eV/atom

---

Entry 4:
# meta-GGA SCAN TcPIr4, single point on PBEsol structure
data_TcPIr4
_space_group_name_H-M_alt 'P 1'
_space_group_IT_number 1
_cell_length_a 5.084
_cell_length_b 5.084
_cell_length_c 5.084
_cell_angle_alpha 60.00
_cell_angle_beta 60.00
_cell_angle_gamma 60.00
loop_
_space_group_symop_operation_xyz
'x,y,z'
loop_
_atom_site_label
_atom_site_type_symbol
_atom_site_fract_x
_atom_site_fract_y
_atom_site_fract_z
_atom_site_occupancy
Tc1 Tc 0.000 0.000 0.000 1
P1 P 0.250 0.250 0.250 1
Ir1 Ir 0.124 0.625 0.625 1
Ir2 Ir 0.625 0.124 0.625 1
Ir3 Ir 0.625 0.625 0.124 1
Ir4 Ir 0.625 0.625 0.625 1
# formation energy	0.855	eV per atom
# M_tot	3.31	μB/f.u.
# total energy	-54.1205	eV/atom

---

Entry 5:
# meta-GGA SCAN BPdIN2, single point on PBEsol structure
data_BPdIN2
_space_group_name_H-M_alt 'P 1'
_space_group_IT_number 1
_cell_length_a 3.437
_cell_length_b 3.437
_cell_length_c 6.923
_cell_angle_alpha 90.00
_cell_angle_beta 90.00
_cell_angle_gamma 90.00
loop_
_space_group_symop_operation_xyz
'x,y,z'
loop_
_atom_site_label
_atom_site_type_symbol
_atom_site_fract_x
_atom_site_fract_y
_atom_site_fract_z
_atom_site_occupancy
B1 B 0.000 0.000 0.000 1
Pd1 Pd 0.500 0.500 0.500 1
I1 I 0.000 0.000 0.500 1
N1 N 0.000 0.500 0.000 1
N2 N 0.500 0.000 0.000 1
# raw formation energy	146	kJ/mol of atoms
# M_tot	0.00	μB/f.u.
# total energy	-17.5887	eV/atom

---

Entry 6:
# meta-GGA SCAN Nd2Mn3Cu9P7, single point on PBEsol structure
data_Nd2Mn3Cu9P7
_space_group_name_H-M_alt 'P 1'
_space_group_IT_number 1
_cell_length_a 9.365
_cell_length_b 9.365
_cell_length_c 3.759
_cell_angle_alpha 90.00
_cell_angle_beta 90.00
_cell_angle_gamma 120.00
loop_
_space_group_symop_operation_xyz
'x,y,z'
loop_
_atom_site_label
_atom_site_type_symbol
_atom_site_fract_x
_atom_site_fract_y
_atom_site_fract_z
_atom_site_occupancy
Nd1 Nd 0.000 0.000 0.000 1
Nd2 Nd 0.333 0.667 0.500 1
Mn1 Mn 0.540 0.121 0.500 1
Mn2 Mn 0.581 0.460 0.500 1
Mn3 Mn 0.879 0.419 0.500 1
Cu1 Cu 0.049 0.758 0.500 1
Cu2 Cu 0.097 0.382 0.000 1
Cu3 Cu 0.242 0.291 0.500 1
Cu4 Cu 0.285 0.903 0.000 1
Cu5 Cu 0.389 0.214 0.000 1
Cu6 Cu 0.618 0.715 0.000 1
Cu7 Cu 0.709 0.951 0.500 1
Cu8 Cu 0.786 0.174 0.000 1
Cu9 Cu 0.826 0.611 0.000 1
P1 P 0.072 0.616 0.000 1
P2 P 0.258 0.040 0.500 1
P3 P 0.384 0.456 0.000 1
P4 P 0.544 0.928 0.000 1
P5 P 0.667 0.333 0.000 1
P6 P 0.782 0.742 0.500 1
P7 P 0.960 0.218 0.500 1
# formation energy	-0.541	eV per atom
# M_tot	12.41	μB/f.u.
# total energy	-17.2801	eV/atom

---

Entry 7:
# meta-GGA SCAN CdAg2Au, single point on PBEsol structure
data_CdAg2Au
_space_group_name_H-M_alt 'P 1'
_space_group_IT_number 1
_cell_length_a 2.942
_cell_length_b 2.942
_cell_length_c 8.007
_cell_angle_alpha 90.00
_cell_angle_beta 90.00
_cell_angle_gamma 90.00
loop_
_space_group_symop_operation_xyz
'x,y,z'
loop_
_atom_site_label
_atom_site_type_symbol
_atom_site_fract_x
_atom_site_fract_y
_atom_site_fract_z
_atom_site_occupancy
Cd1 Cd 0.000 0.000 0.000 1
Ag1 Ag 0.500 0.500 0.255 1
Ag2 Ag 0.500 0.500 0.745 1
Au1 Au 0.000 0.000 0.500 1
# formation energy	-0.072	eV per atom
# M_tot	0.00	μB/f.u.
# total energy	-40.6485	eV/atom

---

Entry 8:
# meta-GGA SCAN YPbAu2, single point on PBEsol structure
data_YPbAu2
_space_group_name_H-M_alt 'P 1'
_space_group_IT_number 1
_cell_length_a 3.643
_cell_length_b 3.643
_cell_length_c 6.715
_cell_angle_alpha 90.00
_cell_angle_beta 90.00
_cell_angle_gamma 90.00
loop_
_space_group_symop_operation_xyz
'x,y,z'
loop_
_atom_site_label
_atom_site_type_symbol
_atom_site_fract_x
_atom_site_fract_y
_atom_site_fract_z
_atom_site_occupancy
Y1 Y 0.000 0.000 0.000 1
Pb1 Pb 0.000 0.000 0.500 1
Au1 Au 0.500 0.500 0.226 1
Au2 Au 0.500 0.500 0.774 1
# formation energy	-0.724	eV per atom
# M_tot	0.00	μB/f.u.
# total energy	-61.2083	eV/atom

---

Entry 9:
# meta-GGA SCAN Nb2PS, single point on PBEsol structure
data_Nb2PS
_space_group_name_H-M_alt 'P 1'
_space_group_IT_number 1
_cell_length_a 4.360
_cell_length_b 4.360
_cell_length_c 4.360
_cell_angle_alpha 60.00
_cell_angle_beta 60.00
_cell_angle_gamma 60.00
loop_
_space_group_symop_operation_xyz
'x,y,z'
loop_
_atom_site_label
_atom_site_type_symbol
_atom_site_fract_x
_atom_site_fract_y
_atom_site_fract_z
_atom_site_occupancy
Nb1 Nb 0.250 0.250 0.250 1
Nb2 Nb 0.750 0.750 0.750 1
P1 P 0.000 0.000 0.000 1
S1 S 0.500 0.500 0.500 1
# raw formation energy	-64	kJ/mol of atoms
# M_tot	0.00	μB/f.u.
# total energy	-22.2348	eV/atom

---

Entry 10:
# meta-GGA SCAN ZrTa3Al, single point on PBEsol structure
data_ZrTa3Al
_space_group_name_H-M_alt 'P 1'
_space_group_IT_number 1
_cell_length_a 4.700
_cell_length_b 4.700
_cell_length_c 4.700
_cell_angle_alpha 90.00
_cell_angle_beta 90.00
_cell_angle_gamma 90.00
loop_
_space_group_symop_operation_xyz
'x,y,z'
loop_
_atom_site_label
_atom_site_type_symbol
_atom_site_fract_x
_atom_site_fract_y
_atom_site_fract_z
_atom_site_occupancy
Zr1 Zr 0.000 0.000 0.000 1
Ta1 Ta 0.000 0.500 0.500 1
Ta2 Ta 0.500 0.000 0.500 1
Ta3 Ta 0.500 0.500 0.000 1
Al1 Al 0.500 0.500 0.500 1
# energy above the most stable polymorph in this dataset	0.00	kJ/mol of atoms
# formation energy	1.080	eV per atom
# M_tot	0.00	μB/f.u.
# total energy	-46.5597	eV/atom

---

Entry 11:
# meta-GGA SCAN PrPtF7, single point on PBEsol structure
data_PrPtF7
_space_group_name_H-M_alt 'P 1'
_space_group_IT_number 1
_cell_length_a 9.120
_cell_length_b 5.567
_cell_length_c 12.198
_cell_angle_alpha 90.00
_cell_angle_beta 118.39
_cell_angle_gamma 90.00
loop_
_space_group_symop_operation_xyz
'x,y,z'
loop_
_atom_site_label
_atom_site_type_symbol
_atom_site_fract_x
_atom_site_fract_y
_atom_site_fract_z
_atom_site_occupancy
Pr1 Pr 0.189 0.239 0.264 1
Pr2 Pr 0.189 0.261 0.764 1
Pr3 Pr 0.811 0.739 0.236 1
Pr4 Pr 0.811 0.761 0.736 1
Pt1 Pt 0.273 0.744 0.042 1
Pt2 Pt 0.273 0.756 0.542 1
Pt3 Pt 0.727 0.244 0.458 1
Pt4 Pt 0.727 0.256 0.958 1
F1 F 0.031 0.742 0.951 1
F2 F 0.031 0.758 0.451 1
F3 F 0.037 0.605 0.730 1
F4 F 0.037 0.895 0.230 1
F5 F 0.260 0.562 0.173 1
F6 F 0.260 0.938 0.673 1
F7 F 0.272 0.037 0.128 1
F8 F 0.272 0.463 0.628 1
F9 F 0.282 0.053 0.462 1
F10 F 0.282 0.447 0.962 1
F11 F 0.291 0.569 0.414 1
F12 F 0.291 0.931 0.914 1
F13 F 0.486 0.237 0.362 1
F14 F 0.486 0.263 0.862 1
F15 F 0.514 0.737 0.138 1
F16 F 0.514 0.763 0.638 1
F17 F 0.709 0.069 0.086 1
F18 F 0.709 0.431 0.586 1
F19 F 0.718 0.553 0.038 1
F20 F 0.718 0.947 0.538 1
F21 F 0.728 0.537 0.372 1
F22 F 0.728 0.963 0.872 1
F23 F 0.740 0.062 0.327 1
F24 F 0.740 0.438 0.827 1
F25 F 0.963 0.105 0.770 1
F26 F 0.963 0.395 0.270 1
F27 F 0.969 0.242 0.549 1
F28 F 0.969 0.258 0.049 1
# raw formation energy	-269	kJ/mol of atoms
# M_tot	0.00	μB/f.u.
# total energy	-18.1518	eV/atom

---

Entry 12:
# meta-GGA SCAN MgAg, single point on PBEsol structure
data_MgAg
_space_group_name_H-M_alt 'P 1'
_space_group_IT_number 1
_cell_length_a 3.885
_cell_length_b 3.885
_cell_length_c 3.885
_cell_angle_alpha 60.00
_cell_angle_beta 60.00
_cell_angle_gamma 60.00
loop_
_space_group_symop_operation_xyz
'x,y,z'
loop_
_atom_site_label
_atom_site_type_symbol
_atom_site_fract_x
_atom_site_fract_y
_atom_site_fract_z
_atom_site_occupancy
Mg1 Mg 0.000 0.000 0.000 1
Ag1 Ag 0.500 0.500 0.500 1
# formation energy	0.118	eV per atom
# M_tot	0.00	μB/f.u.
# total energy	-18.0524	eV/atom

---

Q: What is the M_tot in the sixth record?
A: 12.41 μB/f.u.

---

Q: Number 10 is which compound?
A: ZrTa3Al

---

Q: Which formula does entry 9 have?
A: Nb2PS